YTe3W: relaxed, PBE.

a b c (Å): 5.6943 5.6943 5.6943
angles (deg): 90.00 90.00 90.00
Fractional positions:
Y  0.0000  0.0000  0.0000
Te  0.0000  0.0000  0.5000
Te  0.0000  0.5000  0.0000
Te  0.5000  0.0000  0.0000
W  0.5000  0.5000  0.5000

The polymorph energy (0 for the lowest one) comes out at 1.0262 eV per atom. The space group is Pm-3m, No. 221. The total energy is -4.462 eV/atom.

=====

YTe2W: relaxed, PBE.

a b c (Å): 3.4461 3.4461 8.9962
angles (deg): 90.00 90.00 90.00
Fractional positions:
Y  0.0000  0.0000  0.0000
Te  0.0000  0.0000  0.6191
Te  0.5000  0.5000  0.2371
W  0.5000  0.5000  0.7668

The polymorph energy (0 for the lowest one) comes out at 0.0468 eV per atom. The space group is P4mm, No. 99. The total energy is -6.536 eV/atom.

=====

Y2TeW: relaxed, PBE.

a b c (Å): 4.5371 4.5371 20.4724
angles (deg): 90.00 90.00 90.00
Fractional positions:
Y  0.2497  0.2500  0.1250
Y  0.2503  0.2500  0.6250
Y  0.2500  0.7497  0.3750
Y  0.2500  0.7503  0.8750
Y  0.7500  0.2503  0.3750
Y  0.7500  0.2497  0.8750
Y  0.7503  0.7500  0.1250
Y  0.7497  0.7500  0.6250
Te  0.0000  0.0000  0.0000
Te  0.0000  0.5000  0.2500
Te  0.5000  0.0000  0.7500
Te  0.5000  0.5000  0.5000
W  0.0000  0.0000  0.5000
W  0.0000  0.5000  0.7500
W  0.5000  0.0000  0.2500
W  0.5000  0.5000  0.0000

The space group is I-42d, No. 122. The total energy is -6.578 eV/atom.